This record from Alexandria describes a geometry-optimized Mg2Cu2Se structure. The functional is GGA-PBEsol.

final energy	-16.544	eV per cell
DOS(E_F)	1.06	states/eV/f.u.
magnetic moment	0.0	μB per cell

Cell lengths 5.019, 5.019, 4.979 Å; angles 95.54, 95.54, 43.94 degrees
Element x y z (fractional)
Mg 0.214 0.214 0.260
Mg 0.786 0.786 0.740
Cu 0.078 0.078 0.710
Cu 0.922 0.922 0.290
Se 0.500 0.500 0.000